1.
The following is a DFT calculation (PBE-GGA) of a geometry-optimized ReTcPd structure.

```
ReTcPd
1.0
1.393 -7.326 0.000
1.393 7.326 0.000
0.000 0.000 4.378
Re Tc Pd
2 2 2
Cartesian
1.393 6.566 3.283 Re
1.393 -6.566 1.094 Re
1.393 1.574 3.283 Tc
1.393 -1.574 1.094 Tc
1.393 3.248 1.094 Pd
1.393 -3.248 3.283 Pd
```

Values from the calculation:
* symmetry: Cmcm, No. 63
* crystal system: orthorhombic
* offset from the most stable computed form: 0 meV per atom
* E_form: -0.030 eV per atom
* total magnetization: 0.0 μB/cell

---

2.
The following is a DFT calculation (PBE-GGA) of a geometry-optimized TbPb2 structure.

```
TbPb2
1.0
3.034 -3.086 0.000
3.034 3.086 0.000
-2.398 0.000 4.843
Tb Pb
1 2
Cartesian
0.000 0.000 0.000 Tb
0.512 0.000 3.297 Pb
3.158 0.000 1.546 Pb
```

Values from the calculation:
* symmetry: C2/m, No. 12
* crystal system: monoclinic
* E_form: -0.178 eV per atom
* total magnetization: 0.0 μB/cell

---

3.
The following is a DFT calculation (PBE-GGA) of a geometry-optimized Ba2SrPbO5 structure.

```
Ba2SrPbO5
1.0
1.897 -7.467 0.000
1.897 7.467 0.000
0.000 0.000 11.892
Ba Sr Pb O
4 2 2 10
Cartesian
1.897 5.938 5.946 Ba
1.897 5.238 1.168 Ba
1.897 -5.238 7.114 Ba
1.897 -5.938 0.000 Ba
1.897 4.162 9.820 Sr
1.897 -4.162 3.874 Sr
1.897 0.407 3.130 Pb
1.897 -0.407 9.076 Pb
1.897 6.699 10.161 O
1.897 3.366 5.599 O
1.897 2.490 2.338 O
1.897 1.690 9.686 O
1.897 0.214 7.031 O
1.897 -0.214 1.085 O
1.897 -1.690 3.740 O
1.897 -2.490 8.284 O
1.897 -3.366 11.545 O
1.897 -6.699 4.215 O
```

Values from the calculation:
* raw formation energy: -2074.1 meV per atom
* symmetry: Cmc2_1, No. 36
* crystal system: orthorhombic
* total magnetization: 0.2 μB/cell